Here is a relaxed CaCdIr2 crystal from Alexandria via LeMat-Bulk. Energies are from GGA-PBE.

POSCAR file:
```
CaCdIr2
1.0
9.521 0.000 0.000
0.000 2.957 0.000
-0.930 0.000 5.269
Ca Cd Ir
2 2 4
Cartesian
0.000 0.000 0.000
4.760 1.479 0.000
-0.465 1.479 2.634
4.295 0.000 2.634
1.690 0.000 3.730
2.140 1.479 1.539
6.450 1.479 3.730
6.901 0.000 1.539
```

Here is a relaxed CaCdIr2 crystal from Alexandria via LeMat-Bulk. Energies are from GGA-PBE.

POSCAR file:
```
CaCdIr2
1.0
3.186 0.000 0.000
0.000 4.842 0.000
0.000 0.000 9.271
Ca Cd Ir
2 2 4
Cartesian
0.000 0.000 0.000
1.593 2.421 0.000
0.000 0.000 4.636
1.593 2.421 4.636
0.000 2.421 2.331
0.000 2.421 6.940
1.593 0.000 2.331
1.593 0.000 6.940
```

Here is a relaxed CaCdIr2 crystal from Alexandria via LeMat-Bulk. Energies are from GGA-PBE.

POSCAR file:
```
CaCdIr2
1.0
4.160 0.000 0.000
0.000 4.160 0.000
0.000 0.000 8.420
Ca Cd Ir
2 2 4
Cartesian
0.000 0.000 0.000
2.080 2.080 4.210
0.000 2.080 6.315
2.080 0.000 2.105
0.000 0.000 4.210
0.000 2.080 2.105
2.080 0.000 6.315
2.080 2.080 0.000
```

Here is a relaxed CaCdIr2 crystal from Alexandria via LeMat-Bulk. Energies are from GGA-PBE.

POSCAR file:
```
CaCdIr2
1.0
3.161 0.000 0.000
0.000 4.925 0.000
0.000 0.000 9.353
Ca Cd Ir
2 2 4
Cartesian
0.000 0.000 0.000
1.581 2.462 4.677
0.000 0.000 4.677
1.581 2.462 0.000
0.000 2.462 2.267
0.000 2.462 7.087
1.581 0.000 2.410
1.581 0.000 6.943
```

Here is a relaxed CaCdIr2 crystal from Alexandria via LeMat-Bulk. Energies are from GGA-PBE.

POSCAR file:
```
CaCdIr2
1.0
4.170 0.000 0.000
0.000 4.170 0.000
0.000 0.000 8.374
Ca Cd Ir
2 2 4
Cartesian
0.000 0.000 0.000
2.085 2.085 4.187
0.000 0.000 4.187
2.085 2.085 0.000
0.000 2.085 2.094
0.000 2.085 6.281
2.085 0.000 2.094
2.085 0.000 6.281
```

Here is a relaxed CaCdIr crystal from Alexandria via LeMat-Bulk. Energies are from GGA-PBE.

POSCAR file:
```
CaCdIr
1.0
3.249 0.000 0.000
0.000 3.935 0.000
0.000 0.000 9.803
Ca Cd Ir
2 2 2
Cartesian
0.000 0.000 0.000
1.624 1.967 4.901
0.000 0.000 6.864
1.624 1.967 1.963
0.000 0.000 3.218
1.624 1.967 8.120
```

Formation energy from the elements for every record listed, in sequence, given in eV/atom: 0.083, 0.247, 0.158, 0.195, 0.107, -0.093.